PmHo6S8 | PBE-GGA | optimized geometry

Cell lengths 7.7729, 7.7729, 7.7729 Å; angles 60.00, 60.00, 60.00 degrees
Atoms (fractional coordinates):
Pm 0.0000 0.0000 0.0000
Ho 0.0000 0.5000 0.5000
Ho 0.5000 0.0000 0.0000
Ho 0.5000 0.5000 0.0000
Ho 0.0000 0.0000 0.5000
Ho 0.0000 0.5000 0.0000
Ho 0.5000 0.0000 0.5000
S 0.7500 0.7500 0.7500
S 0.2500 0.2500 0.2500
S 0.7429 0.2571 0.2571
S 0.2571 0.7429 0.7429
S 0.2571 0.2571 0.7429
S 0.7429 0.7429 0.2571
S 0.7429 0.2571 0.7429
S 0.2571 0.7429 0.2571

Properties
For the formation energy (no corrections), the calculation gives -195.6 kJ per mole of atoms.